(1)
The following is a PBE-GGA calculation of crystalline Pr2Dy3Tm2 at its relaxed geometry, from Alexandria via LeMat-Bulk.

Crystal system: monoclinic
Distance to the lowest polymorph of the same formula, meV/atom: 0
Energy of formation, eV per atom: 0.127

abc: 8.948 8.948 8.546
angles: 118.30 118.30 22.62
Atoms (fractional coordinates):
Pr: 0.067 0.067 0.220
Pr: 0.933 0.933 0.780
Dy: 0.289 0.289 0.374
Dy: 0.500 0.500 0.500
Dy: 0.711 0.711 0.626
Tm: 0.349 0.349 0.034
Tm: 0.651 0.651 0.966

---

(2)
The following is a PBE-GGA calculation of crystalline ScZnTe4 at its relaxed geometry, from Alexandria via LeMat-Bulk.

Crystal system: cubic
ΔE_f (raw), eV/atom: 0.311

abc: 6.318 6.318 6.318
angles: 60.00 60.00 60.00
Atoms (fractional coordinates):
Sc: 0.000 0.000 0.000
Zn: 0.250 0.250 0.250
Te: 0.124 0.625 0.625
Te: 0.625 0.124 0.625
Te: 0.625 0.625 0.124
Te: 0.625 0.625 0.625